# KNaNi PBE relaxed
# Offset from the most stable computed form   0.2601 eV per atom
# Total magnetization   0.09 μB/cell
data_KNaNi
_cell_length_a 7.239
_cell_length_b 7.239
_cell_length_c 7.239
_cell_angle_alpha 90.00
_cell_angle_beta 90.00
_cell_angle_gamma 90.00
_space_group_name_H-M_alt 'F -4 3 m'
_space_group_IT_number 216
_space_group_name_Hall 'F -4 2 3'
loop_
_atom_site_label
_atom_site_type_symbol
_atom_site_fract_x
_atom_site_fract_y
_atom_site_fract_z
K1 K 0.000 0.000 0.000
Na1 Na 0.250 0.250 0.750
Ni1 Ni 0.250 0.250 0.250